5
Lattice="-0.141 -4.085 -3.200 -2.893 -2.596 3.441 -4.272 1.862 -2.188" Properties=species:S:1:pos:R:3 comment="In2HgSbRh, relaxed, DFT PBE" e_form_raw_mev_per_atom=-56 m_tot_mub_per_fu=0.0 pbc="T T T"
Sb -2.136 0.931 -1.094
Rh 0.000 0.000 0.000
Hg -3.653 -2.409 -0.974
In -1.447 -1.298 1.720
In -0.071 -2.042 -1.600